## LiSmPu2N4 (PBE)

Data for crystalline LiSmPu2N4 at its relaxed geometry.

Unit cell a=5.8738 b=5.8738 c=11.1598 alpha=90.00 beta=90.00 gamma=145.63
Fractional coordinates of all 16 atoms:
Li 0.1616 0.8384 0.7500
Li 0.8384 0.1616 0.2500
Sm 0.1052 0.8948 0.2500
Sm 0.8948 0.1052 0.7500
Pu 0.3698 0.6302 0.0582
Pu 0.3698 0.6302 0.4418
Pu 0.6302 0.3698 0.5582
Pu 0.6302 0.3698 0.9418
N 0.0000 0.0000 0.0000
N 0.0000 0.0000 0.5000
N 0.2671 0.7329 0.6116
N 0.2671 0.7329 0.8884
N 0.4451 0.5549 0.2500
N 0.5549 0.4451 0.7500
N 0.7329 0.2671 0.1116
N 0.7329 0.2671 0.3884

Summary:
Crystal system = orthorhombic
E_form (uncorrected) = -1160 meV per atom
Space group = Cmcm, No. 63

## LiCo2As (PBE)

Data for crystalline LiCo2As at its relaxed geometry.

Unit cell a=2.6804 b=3.9865 c=4.6074 alpha=90.00 beta=95.12 gamma=90.00
Fractional coordinates of all 4 atoms:
Li 0.0000 0.0000 0.0000
Co 0.3106 0.5000 0.7513
Co 0.6894 0.5000 0.2487
As 0.5000 0.0000 0.5000

Summary:
Crystal system = monoclinic
DFT formation energy = 0.685 kcal/mol of atoms
Space group = P2/m, No. 10

| no. | electronic total energy (eV per formula unit) | total moment (μB per formula unit) | theoretical density (g/cm³) |
| --- | --- | --- | --- |
| 1 | -77.88 | 8.00 | 10.7 |
| 2 | -20.66 | 2.20 | 6.8 |